Below is a relaxed LiZn2 crystal, with properties calculated at the GGA-PBE level.

Unit cell a=4.353 b=4.353 c=5.263 alpha=90.00 beta=90.00 gamma=120.00
Element x y z (fractional)
1 Zn 0.667 0.333 0.750
2 Zn 0.000 0.000 0.000
3 Zn 0.000 0.000 0.500
4 Zn 0.333 0.667 0.250
5 Li 0.667 0.333 0.250
6 Li 0.333 0.667 0.750

Computed properties:
* calculated formation energy: -131 meV per atom
* energy: -1.62 eV per atom
* SG: P6_3/mmc (194)